ZrZn2Cd: relaxed, PBE.

- Magnetic moment: 0.00 μB per cell
- Symmetry: P4/mmm (123)
- Electronic total energy: -3.144 eV/atom
- Calculated density: 7516 kg/m³
- Formation energy: -0.1416 eV/atom

a = 3.1176 Å, b = 3.1176 Å, c = 7.6018 Å
α = 90.00°, β = 90.00°, γ = 90.00°
Atoms (fractional coordinates):
Zn: 0.0000 0.0000 0.9973
Zn: 0.0000 0.0000 0.5027
Zr: 0.5000 0.5000 0.2500
Cd: 0.5000 0.5000 0.7500

---

CdHgPt2F: relaxed, PBE.

- Magnetic moment: 0.00 μB per cell
- Symmetry: P4/mmm (123)
- Energy relative to the elements, uncorrected: 904 meV/atom
- Electronic total energy: -2.130 eV/atom
- Calculated density: 8611 kg/m³

a = 5.0749 Å, b = 5.0749 Å, c = 5.4071 Å
α = 90.00°, β = 90.00°, γ = 90.00°
Atoms (fractional coordinates):
F: 0.5000 0.5000 0.5000
Hg: 0.0000 0.0000 0.0000
Pt: 0.0000 0.5000 0.0000
Pt: 0.5000 0.0000 0.0000
Cd: 0.0000 0.0000 0.5000